TiMnReO6: relaxed, GGA+U.

For the total magnetization, the calculation gives 6.06 μB per formula unit. As for the total energy: -151.430 eV/cell. The density of states at the Fermi level is 7.2 states/eV per cell. Its volume is 11.7 Å³ per atom.

Cell lengths 5.1077, 5.1077, 9.3333 Å; angles 90.00, 90.00, 120.00 degrees
Closest atoms and distances in Å follow each position.
Space group P-31c (No. 163)
Asymmetric unit:
Ti1 0.3333 0.6667 0.2500  6 O 1.98
Mn1 0.0000 0.0000 0.0000  6 O 2.22
Re1 0.3333 0.6667 0.7500  6 O 1.94
O1 0.0058 0.3588 0.6367  1 Re 1.94, 1 Ti 1.98